Computed, not measured: AgPt2Se at its PBEsol-relaxed geometry at the SCAN level of DFT.

Lattice parameters (Å, degrees): 2.9396 2.9396 25.6881 90.00 90.00 120.00
Space group R-3m (No. 166, hexagonal axes)
Asymmetric unit:
Ag  0.0000  0.0000  0.0000 (multiplicity 3)
Pt  0.0000  0.0000  0.2458 (multiplicity 6)
Se  0.0000  0.0000  0.5000 (multiplicity 3)

Computed, not measured: AgPtSe2 at its PBEsol-relaxed geometry at the SCAN level of DFT.

Lattice parameters (Å, degrees): 3.5320 6.3792 7.5065 90.00 90.00 90.00
Space group Cmmm (No. 65)
Asymmetric unit:
Ag  0.0000  0.0000  0.0000 (multiplicity 2)
Pt  0.0000  0.0000  0.5000 (multiplicity 2)
Se  0.0000  0.5000  0.2779 (multiplicity 4)

Computed, not measured: AgPt2Se at its PBEsol-relaxed geometry at the SCAN level of DFT.

Lattice parameters (Å, degrees): 2.7916 4.7958 4.8536 90.00 90.00 90.00
Space group Pmmm (No. 47)
Asymmetric unit:
Ag  0.0000  0.0000  0.0000 (multiplicity 1)
Pt  0.0000  0.5000  0.5000 (multiplicity 1)
Pt  0.5000  0.0000  0.5000 (multiplicity 1)
Se  0.5000  0.5000  0.0000 (multiplicity 1)

Computed, not measured: AgPtSe3 at its PBEsol-relaxed geometry at the SCAN level of DFT.

Lattice parameters (Å, degrees): 4.9133 4.9133 4.9133 90.00 90.00 90.00
Space group Pm-3m (No. 221)
Asymmetric unit:
Ag  0.0000  0.0000  0.0000 (multiplicity 1)
Pt  0.5000  0.5000  0.5000 (multiplicity 1)
Se  0.0000  0.5000  0.5000 (multiplicity 3)

In the order shown, the computed E_form (uncorrected) values come out to 69; 60; 90; 247 kJ/mol of formula units.
In the order shown, the computed size of the total moment values come out to 0.00; 0.00; 0.00; 2.20 μB/f.u..
In the order shown, the computed V values come out to 16.0; 21.1; 16.2; 23.7 Å³/atom.